1.
# Pu3As2S2, relaxed, DFT PBE
# E_form (uncorrected) in eV/atom: -1.0982
data_Pu3As2S2
_chemical_formula_sum 'Pu6 As4 S4'
_symmetry_space_group_name_H-M 'C 1 2/m 1'
_symmetry_Int_Tables_number 12
_symmetry_space_group_name_Hall '-C 2y'
_cell_length_a 14.994
_cell_length_b 4.160
_cell_length_c 7.021
_cell_angle_alpha 90.00
_cell_angle_beta 117.14
_cell_angle_gamma 90.00
loop_
_atom_site_label
_atom_site_fract_x
_atom_site_fract_y
_atom_site_fract_z
Pu1 0.000 0.000 0.000
Pu2 0.222 0.500 0.709
As1 0.138 0.500 0.008
S1 0.135 0.000 0.439

---

2.
# Sc4GaPtRh2, relaxed, DFT PBE
# Energy relative to the elements in eV per atom: -0.95
data_Sc4GaPtRh2
_chemical_formula_sum 'Sc12 Ga3 Pt3 Rh6'
_symmetry_space_group_name_H-M 'R -3 m'
_symmetry_Int_Tables_number 166
_symmetry_space_group_name_Hall '-R 3 2"'
_cell_length_a 4.6298
_cell_length_b 4.6298
_cell_length_c 22.8687
_cell_angle_alpha 90.00
_cell_angle_beta 90.00
_cell_angle_gamma 120.00
loop_
_atom_site_label
_atom_site_fract_x
_atom_site_fract_y
_atom_site_fract_z
Sc1 0.0000 0.0000 0.1230
Sc2 0.0000 0.0000 0.3736
Ga1 0.0000 0.0000 0.5000
Pt1 0.0000 0.0000 0.0000
Rh1 0.0000 0.0000 0.2497

---

no.,calculated density (g cm⁻³)
1,8.06
2,7.63